Compound: NaReIN2
Source: the Alexandria database
Functional: GGA-PBE
Structure: relaxed

Cell lengths 4.088, 4.088, 5.213 Å; angles 90.00, 90.00, 90.00 degrees
Element x y z (fractional)
N  0.000  0.500  0.000
N  0.500  0.000  0.000
Re  0.500  0.500  0.500
Na  0.000  0.000  0.000
I  0.000  0.000  0.500

Results
- crystal system = tetragonal
- calculated density (g/cm³) = 6.9
- formation energy from raw total energies (eV per atom) = 3.0248